4
Lattice="0.0000 3.5245 3.5245 3.5245 0.0000 3.5245 3.5245 3.5245 0.0000" Properties=species:S:1:pos:R:3 comment="PBE CaScHgPd, relaxed" total_magnetization_mub_per_fu=0.00 dos_ef_per_ev_fu=3.97 e_form_mev_per_atom=-534 pbc="T T T"
Ca 0.0000 0.0000 0.0000
Sc 3.5245 3.5245 3.5245
Hg 1.7623 1.7623 1.7623
Pd 5.2868 5.2868 5.2868

***

4
Lattice="2.7903 0.0000 0.0000 0.0000 2.7903 0.0000 0.0000 0.0000 8.4049" Properties=species:S:1:pos:R:3 comment="PBE CrAg2Mo, relaxed" total_magnetization_mub_per_fu=2.86 dos_ef_per_ev_fu=4.65 e_above_lowest_polymorph_ev_per_atom=0.087 e_form_mev_per_atom=426 pbc="T T T"
Cr 0.0000 0.0000 0.0000
Ag 0.0000 0.0000 4.0705
Ag 1.3952 1.3952 6.3061
Mo 1.3952 1.3952 1.8455

***

16
Lattice="4.2353 2.4453 7.0869 -4.2353 2.4453 7.0869 0.0000 -4.8905 7.0869" Properties=species:S:1:pos:R:3 comment="PBE Tb8Ge3Te4Cl, relaxed" total_magnetization_mub_per_fu=0.00 dos_ef_per_ev_fu=4.67 e_form_raw_ev_per_fu=-20.19 pbc="T T T"
Tb -2.2005 -1.2705 12.2076
Tb 0.0000 0.0000 5.1078
Tb 0.0000 -2.5409 9.0532
Tb -2.2005 1.2705 9.0532
Tb 2.2005 -1.2705 12.2076
Tb 0.0000 2.5410 12.2076
Tb 0.0000 0.0000 16.1530
Tb 2.2005 1.2705 9.0533
Ge -4.2353 0.0000 10.6304
Ge -2.1177 1.2226 3.5435
Ge 2.1177 1.2226 3.5435
Te 0.0000 0.0000 0.0000
Te -2.1177 -1.2226 7.0869
Te -2.1177 1.2226 14.1739
Te 0.0000 2.4453 7.0869
Cl 0.0000 0.0000 10.6304

***

5
Lattice="4.9224 0.0000 0.0000 0.0000 4.9224 0.0000 0.0000 0.0000 4.9224" Properties=species:S:1:pos:R:3 comment="PBE GaGe3Pt, relaxed" total_magnetization_mub_per_fu=0.00 dos_ef_per_ev_fu=4.11 e_above_lowest_polymorph_ev_per_atom=0.000 e_form_mev_per_atom=340 pbc="T T T"
Ga 0.0000 0.0000 0.0000
Ge 0.0000 2.4612 2.4612
Ge 2.4612 0.0000 2.4612
Ge 2.4612 2.4612 0.0000
Pt 2.4612 2.4612 2.4612

***

11
Lattice="-2.8208 4.8297 8.0623 2.8208 -4.8297 8.0623 2.8208 4.8297 -8.0623" Properties=species:S:1:pos:R:3 comment="PBE Sr8Al2Cd, relaxed" total_magnetization_mub_per_fu=0.23 dos_ef_per_ev_fu=6.81 e_form_mev_per_atom=-48 pbc="T T T"
Sr 2.8208 2.7932 -2.6057
Sr 0.0000 0.0000 2.1929
Sr 0.0000 3.1331 0.0000
Sr 2.8208 2.7932 2.6057
Sr 0.0000 2.0366 5.4566
Sr 0.0000 6.5264 0.0000
Sr 0.0000 0.0000 13.9317
Sr 0.0000 2.0366 10.6680
Al 2.8208 0.0000 4.9353
Al 0.0000 4.8297 3.1270
Cd 2.8208 0.0000 0.0000

***

4
Lattice="1.7142 0.9897 7.0711 -1.7142 0.9897 7.0711 0.0000 -1.9794 7.0711" Properties=species:S:1:pos:R:3 comment="PBE TaCSe2, relaxed" total_magnetization_mub_per_fu=0.00 dos_ef_per_ev_fu=3.41 e_form_raw_ev_per_fu=3.62 pbc="T T T"
Ta 0.0000 0.0000 0.0000
C 0.0000 0.0000 10.6067
Se 0.0000 0.0000 8.8168
Se 0.0000 0.0000 12.3965

***

4
Lattice="6.0067 0.0000 0.0000 0.0000 6.0067 0.0000 0.0000 0.0000 4.1541" Properties=species:S:1:pos:R:3 comment="PBE CaEu2Lu, relaxed" total_magnetization_mub_per_fu=14.70 dos_ef_per_ev_fu=4.11 e_above_lowest_polymorph_ev_per_atom=0.031 e_form_mev_per_atom=128 pbc="T T T"
Ca 0.0000 0.0000 0.0000
Eu 0.0000 3.0033 2.0771
Eu 3.0033 0.0000 2.0771
Lu 3.0033 3.0033 0.0000

***

5
Lattice="5.3974 0.0000 0.0000 0.0000 5.3974 0.0000 0.0000 0.0000 3.6452" Properties=species:S:1:pos:R:3 comment="PBE La2MgCoN, relaxed" total_magnetization_mub_per_fu=0.12 dos_ef_per_ev_fu=4.69 e_form_raw_ev_per_fu=-2.24 pbc="T T T"
La 0.0000 2.6987 0.0000
La 2.6987 0.0000 0.0000
Mg 0.0000 0.0000 1.8226
Co 2.6987 2.6987 1.8226
N 2.6987 2.6987 0.0000